1.
Compound: TlGaAgIr2
Source: Alexandria
Functional: PBE-GGA
Structure: relaxed

```
5
Lattice="5.0349 0.0000 0.0000 0.0000 5.0349 0.0000 0.0000 0.0000 5.1237" Properties=species:S:1:pos:R:3 pbc="T T T"
Tl 0.0000 0.0000 0.0000
Ga 0.0000 0.0000 2.5618
Ag 2.5174 2.5174 2.5618
Ir 0.0000 2.5174 0.0000
Ir 2.5174 0.0000 0.0000
```

Calculated values
Volume ... 129.9 Å³/cell
Symmetry ... P4/mmm
D(E_F) ... 6.28 states/eV/f.u.
E_form ... 172.3 kJ per mole of atoms

2.
Compound: Cs2AcInO4
Source: Alexandria
Functional: PBE-GGA
Structure: relaxed

```
8
Lattice="6.3019 0.0000 0.0000 0.0000 3.7429 0.0000 -2.1834 0.0000 6.9323" Properties=species:S:1:pos:R:3 pbc="T T T"
Cs 0.0000 0.0000 0.0000
Cs 3.1510 1.8714 0.0000
Ac -1.0917 1.8714 3.4662
In 2.0593 0.0000 3.4662
O 0.1136 0.0000 4.6470
O 1.1388 1.8714 2.2613
O 2.9798 1.8714 4.6710
O 4.0049 0.0000 2.2853
```

Calculated values
Volume ... 163.5 Å³/cell
Symmetry ... P2/m
ΔE_f (raw) ... -1871 meV/atom

3.
Compound: Rb2TbBe2Se4
Source: Alexandria
Functional: PBE-GGA
Structure: relaxed

```
9
Lattice="7.6887 -1.9449 0.0000 7.6887 1.9449 0.0000 -2.8822 0.0000 7.8057" Properties=species:S:1:pos:R:3 pbc="T T T"
Rb 1.8886 0.0000 0.3249
Rb 10.6067 0.0000 7.4808
Tb -1.4411 0.0000 3.9028
Be 3.5945 0.0000 4.0663
Be 8.9008 0.0000 3.7394
Se 1.2921 0.0000 5.0092
Se 5.0605 0.0000 5.7128
Se 7.4347 0.0000 2.0929
Se 11.2031 0.0000 2.7965
```

Calculated values
Volume ... 233.4 Å³/cell
Symmetry ... C2/m
D(E_F) ... 3.41 states/eV/f.u.
ΔE_f (raw) ... -1062 meV/atom

Number 1: DFT total energy -3.408 eV per atom, total moment 0.605 μB/cell. Number 2: DFT total energy -5.420 eV per atom, total moment 0.000 μB/cell. Number 3: DFT total energy -4.168 eV per atom, total moment 0.000 μB/cell.